Crystalline ErAlZn6Ag at its relaxed geometry. Source: the Alexandria database, functional GGA-PBE.

Cell and atoms, written as extended XYZ:
```
18
Lattice="-2.637 4.979 6.891 2.637 -4.979 6.891 2.637 4.979 -6.891" Properties=species:S:1:pos:R:3 pbc="T T T"
Er 0.000 2.490 2.419
Er 2.637 2.490 4.472
Al 2.637 0.000 0.000
Al 0.000 0.000 6.891
Zn 1.303 -0.138 2.153
Zn 3.971 -0.138 2.153
Zn 2.637 -2.490 6.196
Zn 1.303 4.842 -2.153
Zn 2.637 2.490 1.108
Zn 1.334 -0.138 4.738
Zn 1.303 5.117 2.153
Zn 0.000 2.490 5.783
Zn 1.334 0.138 9.043
Zn 0.000 7.469 0.695
Zn -1.334 5.117 4.738
Zn 1.334 5.117 4.738
Ag 1.318 2.490 -3.445
Ag 1.318 -2.490 3.445
```

## Properties
VASP energy, eV per formula unit: -17.3
Formation energy from the elements, meV/atom: 168.9

***

Crystalline ErAlZnAg at its relaxed geometry. Source: the Alexandria database, functional GGA-PBE.

Cell and atoms, written as extended XYZ:
```
4
Lattice="0.000 3.353 3.353 3.353 0.000 3.353 3.353 3.353 0.000" Properties=species:S:1:pos:R:3 pbc="T T T"
Er 0.000 0.000 0.000
Al 3.353 3.353 3.353
Zn 5.029 5.029 5.029
Ag 1.676 1.676 1.676
```

## Properties
VASP energy, eV per formula unit: -13.7
Formation energy from the elements, meV/atom: -317.3

***

Crystalline ErAl2Zn8Ag at its relaxed geometry. Source: the Alexandria database, functional GGA-PBE.

Cell and atoms, written as extended XYZ:
```
12
Lattice="4.050 -2.557 0.000 4.050 2.557 0.000 -1.257 0.000 10.094" Properties=species:S:1:pos:R:3 pbc="T T T"
Er 0.000 0.000 0.000
Al 2.580 0.000 1.683
Al 4.263 0.000 8.411
Zn 2.320 1.296 7.088
Zn 1.447 0.000 9.069
Zn 2.152 0.000 4.685
Zn 4.523 1.296 3.006
Zn 2.320 -1.296 7.088
Zn 4.691 0.000 5.409
Zn 5.396 0.000 1.025
Zn 4.523 -1.296 3.006
Ag -0.629 0.000 5.047
```

## Properties
VASP energy, eV per formula unit: -25.6
Formation energy from the elements, meV/atom: -46.0

***

Crystalline ErAlZn3Ag at its relaxed geometry. Source: the Alexandria database, functional GGA-PBE.

Cell and atoms, written as extended XYZ:
```
12
Lattice="3.060 -6.411 0.000 3.060 6.411 0.000 0.000 0.000 5.847" Properties=species:S:1:pos:R:3 pbc="T T T"
Er 3.060 3.911 4.385
Er 3.060 -3.911 1.462
Al 3.060 1.034 4.385
Al 3.060 -1.034 1.462
Zn 1.222 0.000 0.000
Zn 1.222 0.000 2.923
Zn 3.060 1.659 1.462
Zn 3.060 -1.659 4.385
Zn 4.898 0.000 0.000
Zn 4.898 0.000 2.923
Ag 3.060 4.335 1.462
Ag 3.060 -4.335 4.385
```

## Properties
VASP energy, eV per formula unit: -15.3
Formation energy from the elements, meV/atom: -54.7

***

Crystalline Er4AlZnAg2 at its relaxed geometry. Source: the Alexandria database, functional GGA-PBE.

Cell and atoms, written as extended XYZ:
```
8
Lattice="2.540 1.467 8.285 -2.540 1.467 8.285 0.000 -2.933 8.285" Properties=species:S:1:pos:R:3 pbc="T T T"
Er 0.000 0.000 3.066
Er 0.000 0.000 9.281
Er 0.000 0.000 15.573
Er 0.000 0.000 21.789
Al 0.000 0.000 12.427
Zn 0.000 0.000 0.000
Ag 0.000 0.000 6.165
Ag 0.000 0.000 18.690
```

## Properties
VASP energy, eV per formula unit: -31.7
Formation energy from the elements, meV/atom: -341.3

***

Crystalline Er2Al4Zn3Ag at its relaxed geometry. Source: the Alexandria database, functional GGA-PBE.

Cell and atoms, written as extended XYZ:
```
10
Lattice="4.147 0.000 0.000 0.000 4.147 0.000 0.000 0.000 10.888" Properties=species:S:1:pos:R:3 pbc="T T T"
Er 0.000 2.073 2.661
Er 2.073 0.000 8.227
Al 0.000 0.000 0.000
Al 0.000 2.073 6.964
Al 2.073 0.000 3.924
Al 2.073 2.073 0.000
Zn 0.000 2.073 9.375
Zn 2.073 0.000 1.513
Zn 2.073 2.073 5.444
Ag 0.000 0.000 5.444
```

## Properties
VASP energy, eV per formula unit: -34.1
Formation energy from the elements, meV/atom: -332.5

***

Crystalline EuAlAg2 at its relaxed geometry. Source: the Alexandria database, functional GGA-PBE.

Cell and atoms, written as extended XYZ:
```
4
Lattice="2.297 1.326 5.176 -2.297 1.326 5.176 0.000 -2.652 5.176" Properties=species:S:1:pos:R:3 pbc="T T T"
Eu 0.000 0.000 0.000
Al 0.000 0.000 7.764
Ag 0.000 0.000 3.190
Ag 0.000 0.000 12.337
```

## Properties
VASP energy, eV per formula unit: -20.7
Formation energy from the elements, meV/atom: -241.1

***

Crystalline EuAlAg4 at its relaxed geometry. Source: the Alexandria database, functional GGA-PBE.

Cell and atoms, written as extended XYZ:
```
6
Lattice="0.000 3.973 3.973 3.973 0.000 3.973 3.973 3.973 0.000" Properties=species:S:1:pos:R:3 pbc="T T T"
Eu 0.000 0.000 0.000
Al 5.959 5.959 5.959
Ag 2.984 2.984 2.984
Ag 4.961 4.961 2.984
Ag 4.961 2.984 4.961
Ag 2.984 4.961 4.961
```

## Properties
VASP energy, eV per formula unit: -26.1
Formation energy from the elements, meV/atom: -116.7

***

Crystalline EuAlAg4 at its relaxed geometry. Source: the Alexandria database, functional GGA-PBE.

Cell and atoms, written as extended XYZ:
```
6
Lattice="5.761 0.000 0.000 -2.881 4.989 0.000 0.000 0.000 4.494" Properties=species:S:1:pos:R:3 pbc="T T T"
Eu 0.000 0.000 0.000
Al 0.000 3.326 0.000
Ag -1.417 2.508 2.247
Ag 1.417 2.508 2.247
Ag 0.000 4.962 2.247
Ag 2.881 1.663 0.000
```

## Properties
VASP energy, eV per formula unit: -26.6
Formation energy from the elements, meV/atom: -188.3

***

Crystalline EuAl2Ag at its relaxed geometry. Source: the Alexandria database, functional GGA-PBE.

Cell and atoms, written as extended XYZ:
```
4
Lattice="2.214 1.278 5.548 -2.214 1.278 5.548 0.000 -2.556 5.548" Properties=species:S:1:pos:R:3 pbc="T T T"
Eu 0.000 0.000 0.000
Al 0.000 0.000 3.447
Al 0.000 0.000 13.197
Ag 0.000 0.000 8.322
```

## Properties
VASP energy, eV per formula unit: -21.5
Formation energy from the elements, meV/atom: -229.9

***

Crystalline EuAl2Ag at its relaxed geometry. Source: the Alexandria database, functional GGA-PBE.

Cell and atoms, written as extended XYZ:
```
4
Lattice="3.324 0.000 0.000 0.000 3.324 0.000 0.000 0.000 7.641" Properties=species:S:1:pos:R:3 pbc="T T T"
Eu 0.000 0.000 0.000
Al 1.662 1.662 2.295
Al 1.662 1.662 5.346
Ag 0.000 0.000 3.821
```

## Properties
VASP energy, eV per formula unit: -21.2
Formation energy from the elements, meV/atom: -153.8

***

Crystalline Eu2Al5Ag5 at its relaxed geometry. Source: the Alexandria database, functional GGA-PBE.

Cell and atoms, written as extended XYZ:
```
12
Lattice="4.470 0.000 0.000 0.000 5.546 0.000 0.000 0.000 9.798" Properties=species:S:1:pos:R:3 pbc="T T T"
Eu 0.000 0.000 0.000
Eu 0.000 2.773 4.899
Al 2.235 0.000 4.899
Al 2.235 1.376 2.428
Al 2.235 1.376 7.370
Al 2.235 4.170 2.428
Al 2.235 4.170 7.370
Ag 0.000 0.000 3.265
Ag 0.000 0.000 6.534
Ag 0.000 2.773 1.764
Ag 0.000 2.773 8.034
Ag 2.235 2.773 0.000
```

## Properties
VASP energy, eV per formula unit: -57.0
Formation energy from the elements, meV/atom: -289.6